(1)
{"formula": "K2MgV2O7", "functional": "PBE with a Hubbard U", "state": "relaxed", "cell": [[8.5235, 0.0000, 0.0000], [0.0000, 8.5235, 0.0000], [0.0000, 0.0000, 11.5860]], "species": ["O", "O", "O", "O", "O", "O", "O", "O", "O", "O", "O", "O", "O", "O", "O", "O", "O", "O", "O", "O", "O", "O", "O", "O", "O", "O", "O", "O", "V", "V", "V", "V", "V", "V", "V", "V", "K", "K", "K", "K", "K", "K", "K", "K", "Mg", "Mg", "Mg", "Mg"], "fractional_positions": [[0.8589, 0.1411, 0.6421], [0.9110, 0.3244, 0.8414], [0.0890, 0.6756, 0.8414], [0.5890, 0.8244, 0.6586], [0.8244, 0.5890, 0.3414], [0.8244, 0.5890, 0.6586], [0.6411, 0.6411, 0.1421], [0.1411, 0.8589, 0.6421], [0.3244, 0.9110, 0.8414], [0.6756, 0.0890, 0.1586], [0.3244, 0.9110, 0.1586], [0.6411, 0.6411, 0.8579], [0.4110, 0.1756, 0.3414], [0.3589, 0.3589, 0.1421], [0.6756, 0.0890, 0.8414], [0.1411, 0.8589, 0.3579], [0.5000, 0.5000, 0.3443], [0.1756, 0.4110, 0.3414], [0.5000, 0.5000, 0.6557], [0.4110, 0.1756, 0.6586], [0.3589, 0.3589, 0.8579], [0.9110, 0.3244, 0.1586], [0.8589, 0.1411, 0.3579], [0.0000, 0.0000, 0.1557], [0.5890, 0.8244, 0.3414], [0.1756, 0.4110, 0.6586], [0.0000, 0.0000, 0.8443], [0.0890, 0.6756, 0.1586], [0.1420, 0.8580, 0.7871], [0.3580, 0.3580, 0.2871], [0.3580, 0.3580, 0.7129], [0.6420, 0.6420, 0.7129], [0.8580, 0.1420, 0.2129], [0.8580, 0.1420, 0.7871], [0.6420, 0.6420, 0.2871], [0.1420, 0.8580, 0.2129], [0.8185, 0.8185, 0.0000], [0.3185, 0.6815, 0.5000], [0.1479, 0.1479, 0.5000], [0.3521, 0.6479, 0.0000], [0.1815, 0.1815, 0.0000], [0.6815, 0.3185, 0.5000], [0.8521, 0.8521, 0.5000], [0.6479, 0.3521, 0.0000], [0.0000, 0.5000, 0.7500], [0.0000, 0.5000, 0.2500], [0.5000, 0.0000, 0.7500], [0.5000, 0.0000, 0.2500]], "total_energy_ev_per_cell": -317.072, "dos_ef_per_ev_fu": 0.00}



(2)
{"formula": "CdFe3F", "functional": "PBE with a Hubbard U", "state": "relaxed", "cell": [[-4.1801, -0.8342, -0.1054], [0.2508, -1.7469, 3.8814], [-0.8026, 3.7990, 1.7616]], "species": ["Cd", "Fe", "Fe", "Fe", "F"], "fractional_positions": [[0.5000, 0.5000, 0.5000], [0.0000, 0.0000, 0.5000], [0.5000, 0.0000, 0.0000], [0.0000, 0.5000, 0.0000], [0.0000, 0.0000, 0.0000]], "de_polymorph_kj_per_mol_atoms": 0.0, "total_energy_ev_per_cell": -17.063, "dos_ef_per_ev_fu": 3.61}



Copy entry 1 word for word.
{"formula": "K2MgV2O7", "functional": "PBE with a Hubbard U", "state": "relaxed", "cell": [[8.5235, 0.0000, 0.0000], [0.0000, 8.5235, 0.0000], [0.0000, 0.0000, 11.5860]], "species": ["O", "O", "O", "O", "O", "O", "O", "O", "O", "O", "O", "O", "O", "O", "O", "O", "O", "O", "O", "O", "O", "O", "O", "O", "O", "O", "O", "O", "V", "V", "V", "V", "V", "V", "V", "V", "K", "K", "K", "K", "K", "K", "K", "K", "Mg", "Mg", "Mg", "Mg"], "fractional_positions": [[0.8589, 0.1411, 0.6421], [0.9110, 0.3244, 0.8414], [0.0890, 0.6756, 0.8414], [0.5890, 0.8244, 0.6586], [0.8244, 0.5890, 0.3414], [0.8244, 0.5890, 0.6586], [0.6411, 0.6411, 0.1421], [0.1411, 0.8589, 0.6421], [0.3244, 0.9110, 0.8414], [0.6756, 0.0890, 0.1586], [0.3244, 0.9110, 0.1586], [0.6411, 0.6411, 0.8579], [0.4110, 0.1756, 0.3414], [0.3589, 0.3589, 0.1421], [0.6756, 0.0890, 0.8414], [0.1411, 0.8589, 0.3579], [0.5000, 0.5000, 0.3443], [0.1756, 0.4110, 0.3414], [0.5000, 0.5000, 0.6557], [0.4110, 0.1756, 0.6586], [0.3589, 0.3589, 0.8579], [0.9110, 0.3244, 0.1586], [0.8589, 0.1411, 0.3579], [0.0000, 0.0000, 0.1557], [0.5890, 0.8244, 0.3414], [0.1756, 0.4110, 0.6586], [0.0000, 0.0000, 0.8443], [0.0890, 0.6756, 0.1586], [0.1420, 0.8580, 0.7871], [0.3580, 0.3580, 0.2871], [0.3580, 0.3580, 0.7129], [0.6420, 0.6420, 0.7129], [0.8580, 0.1420, 0.2129], [0.8580, 0.1420, 0.7871], [0.6420, 0.6420, 0.2871], [0.1420, 0.8580, 0.2129], [0.8185, 0.8185, 0.0000], [0.3185, 0.6815, 0.5000], [0.1479, 0.1479, 0.5000], [0.3521, 0.6479, 0.0000], [0.1815, 0.1815, 0.0000], [0.6815, 0.3185, 0.5000], [0.8521, 0.8521, 0.5000], [0.6479, 0.3521, 0.0000], [0.0000, 0.5000, 0.7500], [0.0000, 0.5000, 0.2500], [0.5000, 0.0000, 0.7500], [0.5000, 0.0000, 0.2500]], "total_energy_ev_per_cell": -317.072, "dos_ef_per_ev_fu": 0.00}